Record 1
The following is a GGA-PBE calculation of ZrAlCu after structural relaxation, from the Alexandria database.

theoretical density = 5.524 Mg/m³
crystal system = tetragonal

abc: 3.995 3.995 6.848
angles: 90.00 90.00 90.00
Sites, in units of the cell vectors:
Zr 0.250 0.750 0.000
Zr 0.750 0.250 0.000
Al 0.250 0.250 0.341
Al 0.750 0.750 0.659
Cu 0.250 0.250 0.701
Cu 0.750 0.750 0.299

Record 2
The following is a GGA-PBE calculation of ZnCoW2 after structural relaxation, from the Alexandria database.

theoretical density = 14.496 Mg/m³
crystal system = orthorhombic

abc: 2.672 3.968 5.317
angles: 90.00 90.00 90.00
Sites, in units of the cell vectors:
Zn 0.000 0.000 0.000
Co 0.000 0.000 0.500
W 0.500 0.500 0.255
W 0.500 0.500 0.745

Record 3
The following is a GGA-PBE calculation of SmAl2Ni2 after structural relaxation, from the Alexandria database.

theoretical density = 6.280 Mg/m³
crystal system = tetragonal

abc: 10.366 10.366 10.366
angles: 156.99 156.99 32.77
Sites, in units of the cell vectors:
Sm 0.128 0.128 0.000
Sm 0.872 0.872 0.000
Al 0.000 0.500 0.500
Al 0.312 0.312 0.000
Al 0.500 0.000 0.500
Al 0.688 0.688 0.000
Ni 0.250 0.750 0.500
Ni 0.434 0.434 0.000
Ni 0.566 0.566 0.000
Ni 0.750 0.250 0.500

Number 1: ΔE_f 0.03 eV per atom, total moment 0.000 μB/cell, raw total energy -5.433 eV per atom. Number 2: ΔE_f 0.23 eV per atom, total moment 0.004 μB/cell, raw total energy -8.342 eV per atom. Number 3: ΔE_f -0.56 eV per atom, total moment 0.000 μB/cell, raw total energy -5.315 eV per atom.